BeCd3Hg: optimized geometry, PBEsol.

Values from the calculation:
ΔH_f (0 K) (meV per atom): 245
Space-group type: Pm-3m
Calculated volume (Å³/cell): 105.3

Geometry as extended XYZ:
```
5
Lattice="4.722 0.000 0.000 0.000 4.722 0.000 0.000 0.000 4.722" Properties=species:S:1:pos:R:3 pbc="T T T"
Be 0.000 0.000 0.000
Cd 0.000 0.000 2.361
Cd 0.000 2.361 0.000
Cd 2.361 0.000 0.000
Hg 2.361 2.361 2.361
```

CdFeTe2: optimized geometry, PBEsol.

Values from the calculation:
Calculated total energy (eV for the cell shown): -16.87
Space-group type: Cm
Calculated volume (Å³/cell): 97.4

Geometry as extended XYZ:
```
4
Lattice="4.838 -1.641 0.000 4.838 1.641 0.000 -2.573 0.000 6.135" Properties=species:S:1:pos:R:3 pbc="T T T"
Cd 0.000 0.000 0.000
Fe 6.989 0.000 0.012
Te 0.120 0.000 4.322
Te 2.768 0.000 1.812
```

ZrGa2SnHg: optimized geometry, PBEsol.

Values from the calculation:
ΔH_f (0 K) (meV per atom): 720
Space-group type: P4/mmm
Calculated volume (Å³/cell): 138.2

Geometry as extended XYZ:
```
5
Lattice="5.007 0.000 0.000 0.000 5.007 0.000 0.000 0.000 5.514" Properties=species:S:1:pos:R:3 pbc="T T T"
Zr 0.000 0.000 0.000
Ga 0.000 2.503 2.757
Ga 2.503 0.000 2.757
Sn 0.000 0.000 2.757
Hg 2.503 2.503 0.000
```

ScTl2In: optimized geometry, PBEsol.

Values from the calculation:
ΔH_f (0 K) (meV per atom): -109
Space-group type: P4/mmm
Calculated volume (Å³/cell): 96.3

Geometry as extended XYZ:
```
4
Lattice="3.837 0.000 0.000 0.000 3.837 0.000 0.000 0.000 6.541" Properties=species:S:1:pos:R:3 pbc="T T T"
Sc 0.000 0.000 0.000
Tl 1.918 1.918 1.603
Tl 1.918 1.918 4.938
In 0.000 0.000 3.270
```

SrMgSi: optimized geometry, PBEsol.

Values from the calculation:
Calculated total energy (eV for the cell shown): -42.31
Space-group type: Pnma
Calculated volume (Å³/cell): 296.7

Geometry as extended XYZ:
```
12
Lattice="7.742 0.000 0.000 0.000 4.574 0.000 0.000 0.000 8.378" Properties=species:S:1:pos:R:3 pbc="T T T"
Sr 0.110 1.143 1.545
Sr 3.761 3.430 5.734
Sr 3.981 1.143 2.645
Sr 7.632 3.430 6.834
Mg 1.125 1.143 4.741
Mg 2.746 3.430 0.552
Mg 4.996 1.143 7.826
Mg 6.616 3.430 3.637
Si 1.691 3.430 3.272
Si 2.180 1.143 7.461
Si 5.562 3.430 0.918
Si 6.050 1.143 5.107
```

CsRb2As2: optimized geometry, PBEsol.

Values from the calculation:
ΔH_f (0 K) (meV per atom): -275
Space-group type: P4/mbm
Calculated volume (Å³/cell): 393.9

Geometry as extended XYZ:
```
10
Lattice="8.744 0.000 0.000 0.000 8.744 0.000 0.000 0.000 5.151" Properties=species:S:1:pos:R:3 pbc="T T T"
Cs 0.000 0.000 0.000
Cs 4.372 4.372 0.000
Rb 1.455 2.917 2.575
Rb 2.917 7.289 2.575
Rb 5.827 1.455 2.575
Rb 7.289 5.827 2.575
As 0.855 5.227 0.000
As 3.517 0.855 0.000
As 5.227 7.890 0.000
As 7.890 3.517 0.000
```

MnCoPb2: optimized geometry, PBEsol.

Values from the calculation:
Excess energy over the best structure of this formula in the dataset (eV per formula unit): 1.65
ΔH_f (0 K) (meV per atom): 824
Space-group type: F-43m
Calculated volume (Å³/cell): 77.2

Geometry as extended XYZ:
```
4
Lattice="0.000 3.380 3.380 3.380 0.000 3.380 3.380 3.380 0.000" Properties=species:S:1:pos:R:3 pbc="T T T"
Mn 0.000 0.000 0.000
Co 5.070 5.070 5.070
Pb 1.690 1.690 1.690
Pb 3.380 3.380 3.380
```

LaNi3: optimized geometry, PBEsol.

Values from the calculation:
ΔH_f (0 K) (meV per atom): -241
Space-group type: Pnma
Calculated volume (Å³/cell): 244.9

Geometry as extended XYZ:
```
16
Lattice="7.152 0.000 0.000 0.000 6.566 0.000 0.000 0.000 5.214" Properties=species:S:1:pos:R:3 pbc="T T T"
La 0.251 1.642 0.661
La 3.325 4.925 3.268
La 3.827 1.642 1.946
La 6.901 4.925 4.553
Ni 0.894 4.925 1.787
Ni 1.141 0.393 3.046
Ni 1.141 2.890 3.046
Ni 2.436 3.676 0.439
Ni 2.436 6.174 0.439
Ni 2.682 1.642 4.394
Ni 4.470 4.925 0.820
Ni 4.717 0.393 4.775
Ni 4.717 2.890 4.775
Ni 6.012 3.676 2.168
Ni 6.012 6.174 2.168
Ni 6.259 1.642 3.427
```

What did the second record say?
CdFeTe2: optimized geometry, PBEsol.

Values from the calculation:
Calculated total energy (eV for the cell shown): -16.87
Space-group type: Cm
Calculated volume (Å³/cell): 97.4

Geometry as extended XYZ:
```
4
Lattice="4.838 -1.641 0.000 4.838 1.641 0.000 -2.573 0.000 6.135" Properties=species:S:1:pos:R:3 pbc="T T T"
Cd 0.000 0.000 0.000
Fe 6.989 0.000 0.012
Te 0.120 0.000 4.322
Te 2.768 0.000 1.812
```